[1]
The following is a PBE calculation of Cs6Rb2HgS after structural relaxation, from the Alexandria database.

The structure in POSCAR format:
```
Cs6Rb2HgS
1.0
-5.0767 -0.1814 9.2132
-7.4715 -6.0823 -4.2283
10.0876 -2.9328 -0.5091
Cs Rb S Hg
6 2 1 1
direct
0.2282 0.2287 0.0001
0.7719 0.7724 0.0002
0.2280 0.2286 0.4559
0.7717 0.2288 0.0001
0.2284 0.7722 0.0001
0.7712 0.7717 0.5425
0.2502 0.7511 0.5007
0.7506 0.2508 0.5008
0.9996 0.0001 0.9993
0.4991 0.4996 0.9982
```

Summary:
The total moment is 1.4 μB per formula unit. For the density of states at the Fermi level, the calculation gives 8.9 states/eV per cell. For the electronic total energy, the calculation gives -14.69 eV/f.u. As for the space-group type: I4mm, No. 107. Its crystal system is tetragonal. The theoretical density is 2.42 g/cm3.

***

[2]
The following is a PBE calculation of RbZrTeN2 after structural relaxation, from the Alexandria database.

The structure in POSCAR format:
```
RbZrTeN2
1.0
4.5561 0.0000 0.0000
0.0000 4.5561 0.0000
0.0000 0.0000 5.7540
N Te Rb Zr
2 1 1 1
direct
0.0000 0.5000 0.0000
0.5000 0.0000 0.0000
0.0000 0.0000 0.5000
0.5000 0.5000 0.5000
0.0000 0.0000 0.0000
```

Summary:
The total moment is 3.0 μB per formula unit. For the density of states at the Fermi level, the calculation gives 2.2 states/eV per cell. The relative energy among the computed polymorphs is 0 meV per atom. For the electronic total energy, the calculation gives -28.34 eV/f.u. As for the space-group type: P4/mmm, No. 123. Its crystal system is tetragonal. The theoretical density is 4.62 g/cm3.

***

[3]
The following is a PBE calculation of ScUCo2 after structural relaxation, from the Alexandria database.

The structure in POSCAR format:
```
ScUCo2
1.0
3.0900 0.0000 0.0000
0.0000 3.0900 0.0000
0.0000 0.0000 6.7318
U Co Sc
1 2 1
direct
0.5000 0.5000 0.0000
0.0000 0.0000 0.2545
0.0000 0.0000 0.7455
0.5000 0.5000 0.5000
```

Summary:
The total moment is 0.8 μB per formula unit. For the density of states at the Fermi level, the calculation gives 4.6 states/eV per cell. For the electronic total energy, the calculation gives -32.51 eV/f.u. As for the space-group type: P4/mmm, No. 123. Its crystal system is tetragonal. The calculation puts the energy relative to the elements at -0.17 eV/atom. The theoretical density is 10.36 g/cm3.

***

[4]
The following is a PBE calculation of LiNi2SbN after structural relaxation, from the Alexandria database.

The structure in POSCAR format:
```
LiNi2SbN
1.0
-0.5952 2.5741 -2.8532
-2.4400 -2.4836 -1.7317
-3.1189 1.6025 2.0963
N Li Sb Ni
1 1 1 2
direct
0.0000 0.0000 0.0000
0.0000 0.0000 0.5000
0.5000 0.5000 0.5000
0.0000 0.5000 0.0000
0.5000 0.0000 0.0000
```

Summary:
The total moment is 0.0 μB per formula unit. For the density of states at the Fermi level, the calculation gives 3.9 states/eV per cell. For the electronic total energy, the calculation gives -26.29 eV/f.u. As for the space-group type: P4/mmm, No. 123. Its crystal system is tetragonal. The theoretical density is 6.99 g/cm3.